The following is a DFT calculation (GGA-PBE) of an optimized crystal structure of Dy2TmFe2B2N3.

The structure in CIF format:
```
data_Dy2TmFe2B2N3
_chemical_formula_sum 'Dy4 Tm2 Fe4 B4 N6'
_space_group_name_H-M_alt 'I 4/m m m'
_space_group_IT_number 139
_space_group_name_Hall '-I 4 2'
_cell_length_a 3.430
_cell_length_b 3.430
_cell_length_c 20.260
_cell_angle_alpha 90.00
_cell_angle_beta 90.00
_cell_angle_gamma 90.00
loop_
_atom_site_label
_atom_site_fract_x
_atom_site_fract_y
_atom_site_fract_z
_atom_site_occupancy
Dy1 0.000 0.000 0.121 1
Tm1 0.000 0.000 0.500 1
Fe1 0.000 0.500 0.250 1
B1 0.000 0.000 0.313 1
N1 0.000 0.000 0.000 1
N2 0.000 0.000 0.386 1
```

Magnetization ... 2.39 μB/f.u.
Final energy ... -8.0582 eV per atom

The following is a DFT calculation (GGA-PBE) of an optimized crystal structure of DyY2Fe2B2N3.

The structure in CIF format:
```
data_DyY2Fe2B2N3
_chemical_formula_sum 'Dy2 Y4 Fe4 B4 N6'
_space_group_name_H-M_alt 'I 4/m m m'
_space_group_IT_number 139
_space_group_name_Hall '-I 4 2'
_cell_length_a 3.449
_cell_length_b 3.449
_cell_length_c 20.411
_cell_angle_alpha 90.00
_cell_angle_beta 90.00
_cell_angle_gamma 90.00
loop_
_atom_site_label
_atom_site_fract_x
_atom_site_fract_y
_atom_site_fract_z
_atom_site_occupancy
Dy1 0.000 0.000 0.000 1
Y1 0.000 0.000 0.378 1
Fe1 0.000 0.500 0.250 1
B1 0.000 0.000 0.188 1
N1 0.000 0.000 0.115 1
N2 0.000 0.000 0.500 1
```

Magnetization ... 2.37 μB/f.u.
Final energy ... -8.4101 eV per atom

The following is a DFT calculation (GGA-PBE) of an optimized crystal structure of Nd2Dy3Fe2B6.

The structure in CIF format:
```
data_Nd2Dy3Fe2B6
_chemical_formula_sum 'Nd6 Dy9 Fe6 B18'
_space_group_name_H-M_alt 'R -3 m'
_space_group_IT_number 166
_space_group_name_Hall '-R 3 2"'
_cell_length_a 5.4271
_cell_length_b 5.4271
_cell_length_c 23.7020
_cell_angle_alpha 90.00
_cell_angle_beta 90.00
_cell_angle_gamma 120.00
loop_
_atom_site_label
_atom_site_fract_x
_atom_site_fract_y
_atom_site_fract_z
_atom_site_occupancy
Nd1 0.0000 0.0000 0.0861 1
Dy1 0.0000 0.0000 0.2513 1
Dy2 0.0000 0.0000 0.5000 1
Fe1 0.0000 0.0000 0.3800 1
B1 0.0000 0.3324 0.0000 1
```

Energy above the most stable polymorph in this dataset ... 0.0115 eV/atom
Magnetization ... 0.21 μB/f.u.
Final energy ... -6.5963 eV per atom